Density functional theory data (PBE) for an optimized crystal structure of Y2CuPd.

For the energy of formation, the calculation gives -600 meV per atom.

a b c (Å): 5.5574 4.5179 7.5183
angles (deg): 90.00 109.84 90.00
Positions (direct):
Y 0.2205 0.2500 0.4296
Y 0.2212 0.2500 0.9314
Y 0.7788 0.7500 0.0686
Y 0.7795 0.7500 0.5704
Cu 0.3442 0.7500 0.7095
Cu 0.6558 0.2500 0.2905
Pd 0.3441 0.7500 0.2129
Pd 0.6559 0.2500 0.7871